Bi3SbI after structural relaxation. Source: Alexandria, functional GGA-PBE.

Energy relative to the lowest polymorph listed for this composition   0 meV/atom
Electronic total energy   -34.7 eV per cell

a b c (Å): 4.378 8.015 10.699
angles (deg): 90.00 101.25 90.00
Element x y z (fractional)
Bi 0.096 0.250 0.178
Bi 0.332 0.527 0.670
Bi 0.332 0.973 0.670
Bi 0.668 0.027 0.330
Bi 0.668 0.473 0.330
Bi 0.904 0.750 0.822
Sb 0.217 0.750 0.431
Sb 0.783 0.250 0.569
I 0.472 0.250 0.922
I 0.528 0.750 0.078